Material: CaEuBr2
Method: DFT, PBE
State: optimized geometry

Summary:
Calculated total energy ... -20.97 eV for the cell shown
Crystal system ... trigonal
Mass density ... 3.874 g/cm3

Unit cell a=4.193 b=4.193 c=10.196 alpha=78.13 beta=78.13 gamma=60.00
Element x y z (fractional)
Eu1 0.500 0.500 0.500
Br1 0.105 0.105 0.686
Br2 0.895 0.895 0.314
Ca1 0.000 0.000 0.000